Here is an optimized crystal structure of Tc2Ge2O from Alexandria via LeMat-Bulk. Energies are from PBE-GGA.

The calculation puts the size of the total moment at 0.0 Bohr magnetons per cell. The offset from the most stable computed form comes out at 0.00 kcal/mol of atoms.

The structure belongs to space group P4/mbm (No. 127); the cell edges are 5.8145, 5.8145 and 4.1479 Å and the angles 90.00°, 90.00° and 90.00°. The inequivalent atoms are Tc at (0.1730, 0.3270, 0.0000), Ge at (0.1562, 0.6562, 0.5000) and O at (0.0000, 0.0000, 0.0000).